{"formula": "La3WN5", "functional": "PBE", "state": "optimized geometry", "cell": [[-3.459, 3.459, 5.892], [3.459, -3.459, 5.892], [3.459, 3.459, -5.892]], "species": ["La", "La", "La", "La", "La", "La", "W", "W", "N", "N", "N", "N", "N", "N", "N", "N", "N", "N"], "frac_coords": [[0.178, 0.678, 0.856], [0.250, 0.250, 0.000], [0.322, 0.178, 0.500], [0.678, 0.822, 0.500], [0.750, 0.750, 0.000], [0.822, 0.322, 0.144], [0.250, 0.750, 0.500], [0.750, 0.250, 0.500], [0.000, 0.000, 0.000], [0.002, 0.805, 0.500], [0.195, 0.695, 0.197], [0.305, 0.502, 0.500], [0.498, 0.998, 0.803], [0.500, 0.500, 0.000], [0.502, 0.002, 0.197], [0.695, 0.498, 0.500], [0.805, 0.305, 0.803], [0.998, 0.195, 0.500]], "density_g_cm3": 7.90, "magmom_total_mub_per_cell": 0.0, "dft_energy_ev_per_cell": -160.7}